No. 1
# HoMgAgHg (PBE, optimized geometry)
# - Total magnetic moment: 0.0 μB/f.u.
# - DFT total energy: -2.7063 eV per atom
data_HoMgAgHg
_cell_length_a 7.0432
_cell_length_b 7.0432
_cell_length_c 7.0432
_cell_angle_alpha 90.00
_cell_angle_beta 90.00
_cell_angle_gamma 90.00
_space_group_name_H-M_alt 'F -4 3 m'
_space_group_IT_number 216
_space_group_name_Hall 'F -4 2 3'
loop_
_atom_site_label
_atom_site_type_symbol
_atom_site_fract_x
_atom_site_fract_y
_atom_site_fract_z
_atom_site_occupancy
Ho1 Ho 0.0000 0.0000 0.0000 1
Mg1 Mg 0.0000 0.0000 0.5000 1
Ag1 Ag 0.2500 0.2500 0.7500 1
Hg1 Hg 0.2500 0.2500 0.2500 1

***

No. 2
# Al2CdCo (PBE, optimized geometry)
# - Total magnetic moment: 0.0 μB/f.u.
# - DFT total energy: -3.6976 eV per atom
data_Al2CdCo
_cell_length_a 6.2406
_cell_length_b 6.2406
_cell_length_c 6.2406
_cell_angle_alpha 90.00
_cell_angle_beta 90.00
_cell_angle_gamma 90.00
_space_group_name_H-M_alt 'F -4 3 m'
_space_group_IT_number 216
_space_group_name_Hall 'F -4 2 3'
loop_
_atom_site_label
_atom_site_type_symbol
_atom_site_fract_x
_atom_site_fract_y
_atom_site_fract_z
_atom_site_occupancy
Al1 Al 0.0000 0.0000 0.0000 1
Al2 Al 0.2500 0.2500 0.2500 1
Cd1 Cd 0.0000 0.0000 0.5000 1
Co1 Co 0.2500 0.2500 0.7500 1

***

No. 3
# NdGaAsO (PBE, optimized geometry)
# - Offset from the most stable computed form: 185 meV per atom
# - Total magnetic moment: 0.0 μB/f.u.
# - DFT total energy: -5.7568 eV per atom
data_NdGaAsO
_cell_length_a 4.3805
_cell_length_b 4.7433
_cell_length_c 6.8166
_cell_angle_alpha 90.00
_cell_angle_beta 90.00
_cell_angle_gamma 90.00
_space_group_name_H-M_alt 'P m c 21'
_space_group_IT_number 26
loop_
_space_group_symop_operation_xyz
'x,y,z'
'-x,-y,z+1/2'
'-x,y,z'
'x,-y,z+1/2'
loop_
_atom_site_label
_atom_site_type_symbol
_atom_site_fract_x
_atom_site_fract_y
_atom_site_fract_z
_atom_site_occupancy
Nd1 Nd 0.0000 0.1985 0.0000 1
Ga1 Ga 0.5000 0.3196 0.3353 1
As1 As 0.5000 0.1825 0.6896 1
O1 O 0.0000 0.3165 0.3431 1

***

No. 4
# DySiNO (PBE, optimized geometry)
# - Offset from the most stable computed form: 237 meV per atom
# - Total magnetic moment: 0.1 μB/f.u.
# - DFT total energy: -7.2671 eV per atom
data_DySiNO
_cell_length_a 3.9236
_cell_length_b 3.9236
_cell_length_c 7.2703
_cell_angle_alpha 90.00
_cell_angle_beta 90.00
_cell_angle_gamma 90.00
_space_group_name_H-M_alt 'P 4/n m m'
_space_group_IT_number 129
loop_
_space_group_symop_operation_xyz
'x,y,z'
'-x,-y,-z'
'-y+1/2,x,z'
'y+1/2,-x,-z'
'-x+1/2,-y+1/2,z'
'x+1/2,y+1/2,-z'
'y,-x+1/2,z'
'-y,x+1/2,-z'
'x+1/2,-y,-z'
'-x+1/2,y,z'
'-y,-x,-z'
'y,x,z'
'-x,y+1/2,-z'
'x,-y+1/2,z'
'y+1/2,x+1/2,-z'
'-y+1/2,-x+1/2,z'
loop_
_atom_site_label
_atom_site_type_symbol
_atom_site_fract_x
_atom_site_fract_y
_atom_site_fract_z
_atom_site_occupancy
Dy1 Dy 0.2500 0.2500 0.1489 1
Si1 Si 0.2500 0.7500 0.5000 1
N1 N 0.2500 0.2500 0.5016 1
O1 O 0.2500 0.7500 0.0000 1

***

No. 5
# MgCd2In (PBE, optimized geometry)
# - DFT total energy: -1.5132 eV per atom
data_MgCd2In
_cell_length_a 7.1702
_cell_length_b 7.1702
_cell_length_c 7.1702
_cell_angle_alpha 90.00
_cell_angle_beta 90.00
_cell_angle_gamma 90.00
_space_group_name_H-M_alt 'F -4 3 m'
_space_group_IT_number 216
_space_group_name_Hall 'F -4 2 3'
loop_
_atom_site_label
_atom_site_type_symbol
_atom_site_fract_x
_atom_site_fract_y
_atom_site_fract_z
_atom_site_occupancy
Mg1 Mg 0.0000 0.0000 0.0000 1
Cd1 Cd 0.0000 0.0000 0.5000 1
Cd2 Cd 0.2500 0.2500 0.2500 1
In1 In 0.2500 0.2500 0.7500 1

***

No. 6
# TbGaSnTe3 (PBE, optimized geometry)
# - Total magnetic moment: 0.0 μB/f.u.
# - DFT total energy: -4.0680 eV per atom
data_TbGaSnTe3
_cell_length_a 4.4650
_cell_length_b 14.9213
_cell_length_c 10.9485
_cell_angle_alpha 90.00
_cell_angle_beta 90.00
_cell_angle_gamma 90.00
_space_group_name_H-M_alt 'C m c m'
_space_group_IT_number 63
_space_group_name_Hall '-C 2c 2'
loop_
_atom_site_label
_atom_site_type_symbol
_atom_site_fract_x
_atom_site_fract_y
_atom_site_fract_z
_atom_site_occupancy
Tb1 Tb 0.0000 0.0000 0.0000 1
Ga1 Ga 0.0000 0.4721 0.2500 1
Sn1 Sn 0.0000 0.2472 0.7500 1
Te1 Te 0.0000 0.1039 0.2500 1
Te2 Te 0.0000 0.3543 0.0435 1

***

Across the entries above, ρ takes the values 9.46 6.16 7.15 6.55 6.56 6.65 Mg/m³, respectively.